Entry 1:
## TmLuHg2 (PBE-GGA)

Data for a relaxed TmLuHg2 crystal.

abc: 5.1774 5.1774 5.1774
angles: 60.00 60.00 60.00
Element x y z (fractional)
Lu  0.5000  0.5000  0.5000
Hg  0.2500  0.2500  0.2500
Hg  0.7500  0.7500  0.7500
Tm  0.0000  0.0000  0.0000

Results
The formation energy comes out at -45.4 kJ/mol of atoms. As for the raw total energy: -11.5 eV/cell. The theoretical density comes out at 12.61 Mg/m³. The size of the total moment is 0.00 μB per atom.

Entry 2:
## TmLu2Hg (PBE-GGA)

Data for a relaxed TmLu2Hg crystal.

abc: 3.5171 3.5171 8.8085
angles: 90.00 90.00 90.00
Element x y z (fractional)
Tm  0.5000  0.5000  0.5000
Lu  0.0000  0.0000  0.7753
Lu  0.0000  0.0000  0.2247
Hg  0.5000  0.5000  0.0000

Results
Its relative energy among the computed polymorphs is 0.000 eV per formula unit. The formation energy comes out at -21.6 kJ/mol of atoms. As for the raw total energy: -14.7 eV/cell. The theoretical density comes out at 10.96 Mg/m³. The size of the total moment is 0.00 μB per atom.

Entry 3:
## TmLuHg (PBE-GGA)

Data for a relaxed TmLuHg crystal.

abc: 5.0079 5.0079 5.0079
angles: 60.00 60.00 60.00
Element x y z (fractional)
Lu  0.0000  0.0000  0.0000
Hg  0.2500  0.2500  0.2500
Tm  0.5000  0.5000  0.5000

Results
Its relative energy among the computed polymorphs is 0.502 eV per formula unit. The formation energy comes out at -12.1 kJ/mol of atoms. As for the raw total energy: -9.7 eV/cell. The theoretical density comes out at 10.18 Mg/m³. The size of the total moment is 0.00 μB per atom.

Entry 4:
## TmLuHg (PBE-GGA)

Data for a relaxed TmLuHg crystal.

abc: 3.5938 5.0802 5.0802
angles: 120.00 90.00 90.00
Element x y z (fractional)
Lu  0.0824  0.0000  0.0000
Hg  0.3089  0.3333  0.6667
Tm  0.6088  0.6667  0.3333

Results
Its relative energy among the computed polymorphs is 0.358 eV per formula unit. The formation energy comes out at -16.7 kJ/mol of atoms. As for the raw total energy: -9.8 eV/cell. The theoretical density comes out at 11.26 Mg/m³. The size of the total moment is 0.00 μB per atom.